DFT (GGA-PBE) results for an optimized crystal structure of InHg2H.

Properties
space group: Fm-3m
magnetic moment: 0.00 μB/cell
polymorph energy (0 for the lowest one): 113 kJ/mol of formula units
crystal system: cubic
E_tot: -1.23 eV per atom

```
InHg2H
1.0
0.000 3.529 3.529
3.529 0.000 3.529
3.529 3.529 0.000
In Hg H
1 2 1
direct
0.000 0.000 0.000 In
0.250 0.250 0.250 Hg
0.750 0.750 0.750 Hg
0.500 0.500 0.500 H
```

***

DFT (GGA-PBE) results for an optimized crystal structure of InHg2H.

Properties
space group: Cc
magnetic moment: 0.00 μB/cell
polymorph energy (0 for the lowest one): 0 kJ/mol of formula units
crystal system: monoclinic
E_tot: -1.52 eV per atom

```
InHg2H
1.0
3.687 -6.253 0.000
3.687 6.253 0.000
-2.637 0.000 3.951
In Hg H
2 4 2
direct
0.112 0.888 0.500 In
0.888 0.112 0.000 In
0.400 0.586 0.515 Hg
0.491 0.973 0.232 Hg
0.586 0.400 0.015 Hg
0.973 0.491 0.732 Hg
0.026 0.961 0.144 H
0.961 0.026 0.644 H
```

***

DFT (GGA-PBE) results for an optimized crystal structure of In2Hg4H.

Properties
space group: I4/mmm
magnetic moment: 0.00 μB/cell
crystal system: tetragonal
E_tot: -1.24 eV per atom

```
In2Hg4H
1.0
-2.646 2.646 6.494
2.646 -2.646 6.494
2.646 2.646 -6.494
In Hg H
2 4 1
direct
0.128 0.128 0.000 In
0.872 0.872 0.000 In
0.000 0.500 0.500 Hg
0.348 0.348 0.000 Hg
0.500 0.000 0.500 Hg
0.652 0.652 0.000 Hg
0.500 0.500 0.000 H
```

***

DFT (GGA-PBE) results for an optimized crystal structure of In2Hg2H.

Properties
space group: P4/mbm
magnetic moment: 0.00 μB/cell
polymorph energy (0 for the lowest one): 58 kJ/mol of formula units
crystal system: tetragonal
E_tot: -1.60 eV per atom

```
In2Hg2H
1.0
6.194 0.000 0.000
0.000 6.194 0.000
0.000 0.000 5.841
In Hg H
4 4 2
direct
0.187 0.313 0.000 In
0.313 0.813 0.000 In
0.687 0.187 0.000 In
0.813 0.687 0.000 In
0.177 0.677 0.500 Hg
0.323 0.177 0.500 Hg
0.677 0.823 0.500 Hg
0.823 0.323 0.500 Hg
0.000 0.000 0.500 H
0.500 0.500 0.500 H
```

***

DFT (GGA-PBE) results for an optimized crystal structure of InHgH2.

Properties
space group: Fm-3m
magnetic moment: 0.00 μB/cell
polymorph energy (0 for the lowest one): 147 kJ/mol of formula units
crystal system: cubic
E_tot: -1.79 eV per atom

```
InHgH2
1.0
0.000 3.122 3.122
3.122 0.000 3.122
3.122 3.122 0.000
In Hg H
1 1 2
direct
0.000 0.000 0.000 In
0.500 0.500 0.500 Hg
0.250 0.250 0.250 H
0.750 0.750 0.750 H
```

***

DFT (GGA-PBE) results for an optimized crystal structure of In2HgH2.

Properties
space group: I4/mmm
magnetic moment: 0.00 μB/cell
polymorph energy (0 for the lowest one): 78 kJ/mol of formula units
crystal system: tetragonal
E_tot: -2.25 eV per atom

```
In2HgH2
1.0
-1.834 1.834 6.793
1.834 -1.834 6.793
1.834 1.834 -6.793
In Hg H
2 1 2
direct
0.151 0.151 0.000 In
0.849 0.849 0.000 In
0.500 0.500 0.000 Hg
0.250 0.750 0.500 H
0.750 0.250 0.500 H
```

***

DFT (GGA-PBE) results for an optimized crystal structure of K2InHgH.

Properties
space group: P4/mmm
magnetic moment: 0.00 μB/cell
crystal system: tetragonal
E_tot: -1.74 eV per atom

```
K2InHgH
1.0
5.349 0.000 0.000
0.000 5.349 0.000
0.000 0.000 5.010
K In Hg H
2 1 1 1
direct
0.000 0.500 0.000 K
0.500 0.000 0.000 K
0.000 0.000 0.500 In
0.500 0.500 0.500 Hg
0.000 0.000 0.000 H
```

***

DFT (GGA-PBE) results for an optimized crystal structure of La2InHgH.

Properties
space group: P4/mmm
magnetic moment: 0.00 μB/cell
polymorph energy (0 for the lowest one): 0 kJ/mol of formula units
crystal system: tetragonal
E_tot: -3.67 eV per atom

```
La2InHgH
1.0
5.034 0.000 0.000
0.000 5.034 0.000
0.000 0.000 4.720
La In Hg H
2 1 1 1
direct
0.000 0.500 0.000 La
0.500 0.000 0.000 La
0.000 0.000 0.500 In
0.500 0.500 0.500 Hg
0.500 0.500 0.000 H
```

***

no.,volume (Å³/cell)
1,87.9
2,182.2
3,181.9
4,224.1
5,60.9
6,91.4
7,143.3
8,119.6